1.
Computed, not measured: an optimized crystal structure of Tb6SnP3S2 at the PBE-GGA level of DFT.

```
12
Lattice="8.876 -2.009 0.000 8.876 2.009 0.000 -1.902 0.000 7.998" Properties=species:S:1:pos:R:3 pbc="T T T"
Tb 17.308 0.000 1.846
Tb -1.458 0.000 6.152
Tb 5.002 0.000 3.337
Tb 4.208 0.000 7.283
Tb 11.641 0.000 0.715
Tb 10.848 0.000 4.660
Sn 7.925 0.000 3.999
P 2.325 0.000 2.649
P 8.876 0.000 0.000
P 13.525 0.000 5.348
S 1.422 0.000 6.716
S 14.427 0.000 1.282
```

For the uncorrected formation energy, the calculation gives -154.4 kJ/mol of atoms. As for the crystal system: monoclinic.


2.
Computed, not measured: an optimized crystal structure of Tb6SnP2S3 at the PBE-GGA level of DFT.

```
12
Lattice="8.834 -2.013 0.000 8.834 2.013 0.000 -1.825 0.000 7.952" Properties=species:S:1:pos:R:3 pbc="T T T"
Tb -0.444 0.000 2.134
Tb 4.129 0.000 7.194
Tb 5.059 0.000 3.351
Tb 10.783 0.000 4.600
Tb 11.714 0.000 0.758
Tb 16.287 0.000 5.818
Sn 8.834 0.000 0.000
P 2.353 0.000 2.671
P 13.490 0.000 5.281
S 1.414 0.000 6.613
S 7.921 0.000 3.976
S 14.428 0.000 1.339
```

For the uncorrected formation energy, the calculation gives -160.0 kJ/mol of atoms. As for the crystal system: monoclinic.


3.
Computed, not measured: an optimized crystal structure of TcSnP2S at the PBE-GGA level of DFT.

```
5
Lattice="4.994 0.000 0.000 0.000 4.994 0.000 0.000 0.000 4.929" Properties=species:S:1:pos:R:3 pbc="T T T"
Tc 0.000 0.000 0.000
Sn 2.497 2.497 2.465
P 0.000 2.497 2.465
P 2.497 0.000 2.465
S 2.497 2.497 0.000
```

The value obtained for the distance to the lowest polymorph of the same formula is 1167 meV/atom. For the uncorrected formation energy, the calculation gives 141.6 kJ/mol of atoms. As for the crystal system: tetragonal.


4.
Computed, not measured: an optimized crystal structure of TcSnP2S at the PBE-GGA level of DFT.

```
5
Lattice="4.492 0.000 0.000 0.000 4.492 0.000 0.000 0.000 5.341" Properties=species:S:1:pos:R:3 pbc="T T T"
Tc 0.000 0.000 0.000
Sn 2.246 2.246 2.670
P 0.000 2.246 0.000
P 2.246 0.000 0.000
S 0.000 0.000 2.670
```

The value obtained for the distance to the lowest polymorph of the same formula is 0 meV/atom. For the uncorrected formation energy, the calculation gives 29.0 kJ/mol of atoms. As for the crystal system: tetragonal.


5.
Computed, not measured: an optimized crystal structure of TcSnPS2 at the PBE-GGA level of DFT.

```
5
Lattice="4.829 0.000 0.000 0.000 4.829 0.000 0.000 0.000 4.489" Properties=species:S:1:pos:R:3 pbc="T T T"
Tc 0.000 0.000 0.000
Sn 2.414 2.414 2.244
P 0.000 0.000 2.244
S 0.000 2.414 0.000
S 2.414 0.000 0.000
```

The value obtained for the distance to the lowest polymorph of the same formula is 0 meV/atom. For the uncorrected formation energy, the calculation gives 22.0 kJ/mol of atoms. As for the crystal system: tetragonal.


6.
Computed, not measured: an optimized crystal structure of TcSnPS2 at the PBE-GGA level of DFT.

```
5
Lattice="4.929 0.000 0.000 0.000 4.929 0.000 0.000 0.000 5.054" Properties=species:S:1:pos:R:3 pbc="T T T"
Tc 0.000 0.000 0.000
Sn 2.465 2.465 2.527
P 2.465 2.465 0.000
S 0.000 2.465 2.527
S 2.465 0.000 2.527
```

The value obtained for the distance to the lowest polymorph of the same formula is 986 meV/atom. For the uncorrected formation energy, the calculation gives 117.1 kJ/mol of atoms. As for the crystal system: tetragonal.


7.
Computed, not measured: an optimized crystal structure of TiSnPS2 at the PBE-GGA level of DFT.

```
5
Lattice="4.946 0.000 0.000 0.000 4.946 0.000 0.000 0.000 4.949" Properties=species:S:1:pos:R:3 pbc="T T T"
Ti 0.000 0.000 0.000
Sn 2.473 2.473 2.474
P 2.473 2.473 0.000
S 0.000 2.473 2.474
S 2.473 0.000 2.474
```

The value obtained for the distance to the lowest polymorph of the same formula is 960 meV/atom. For the uncorrected formation energy, the calculation gives 60.9 kJ/mol of atoms. As for the crystal system: tetragonal.


8.
Computed, not measured: an optimized crystal structure of TiSnPS2 at the PBE-GGA level of DFT.

```
5
Lattice="4.528 0.000 0.000 0.000 4.528 0.000 0.000 0.000 5.062" Properties=species:S:1:pos:R:3 pbc="T T T"
Ti 0.000 0.000 0.000
Sn 2.264 2.264 0.000
P 2.264 2.264 2.531
S 0.000 2.264 2.531
S 2.264 0.000 2.531
```

The value obtained for the distance to the lowest polymorph of the same formula is 828 meV/atom. For the uncorrected formation energy, the calculation gives 48.3 kJ/mol of atoms. As for the crystal system: tetragonal.


9.
Computed, not measured: an optimized crystal structure of TiSnPS2 at the PBE-GGA level of DFT.

```
5
Lattice="4.715 0.000 0.000 0.000 4.715 0.000 0.000 0.000 4.839" Properties=species:S:1:pos:R:3 pbc="T T T"
Ti 0.000 0.000 0.000
Sn 2.358 2.358 2.420
P 0.000 0.000 2.420
S 0.000 2.358 0.000
S 2.358 0.000 0.000
```

The value obtained for the distance to the lowest polymorph of the same formula is 0 meV/atom. For the uncorrected formation energy, the calculation gives -31.6 kJ/mol of atoms. As for the crystal system: tetragonal.


10.
Computed, not measured: an optimized crystal structure of TiSnP2S at the PBE-GGA level of DFT.

```
5
Lattice="4.921 0.000 0.000 0.000 4.921 0.000 0.000 0.000 4.925" Properties=species:S:1:pos:R:3 pbc="T T T"
Ti 0.000 0.000 0.000
Sn 2.461 2.461 2.462
P 0.000 2.461 2.462
P 2.461 0.000 2.462
S 2.461 2.461 0.000
```

The value obtained for the distance to the lowest polymorph of the same formula is 1018 meV/atom. For the uncorrected formation energy, the calculation gives 92.3 kJ/mol of atoms. As for the crystal system: tetragonal.


11.
Computed, not measured: an optimized crystal structure of TiSnP2S at the PBE-GGA level of DFT.

```
5
Lattice="4.797 0.000 0.000 0.000 4.797 0.000 0.000 0.000 4.668" Properties=species:S:1:pos:R:3 pbc="T T T"
Ti 0.000 0.000 0.000
Sn 2.399 2.399 2.334
P 0.000 2.399 0.000
P 2.399 0.000 0.000
S 0.000 0.000 2.334
```

The value obtained for the distance to the lowest polymorph of the same formula is 0 meV/atom. For the uncorrected formation energy, the calculation gives -5.9 kJ/mol of atoms. As for the crystal system: tetragonal.


12.
Computed, not measured: an optimized crystal structure of TlSnPS4 at the PBE-GGA level of DFT.

```
28
Lattice="12.201 0.000 0.000 0.000 8.926 0.000 0.000 0.000 6.781" Properties=species:S:1:pos:R:3 pbc="T T T"
Tl 1.333 1.175 0.000
Tl 4.767 5.638 3.391
Tl 7.434 3.288 0.000
Tl 10.868 7.751 3.391
Sn 1.586 5.489 0.338
Sn 4.515 1.026 3.729
Sn 7.686 7.900 0.338
Sn 10.616 3.437 3.729
P 1.890 3.292 3.255
P 4.211 7.755 6.646
P 7.990 1.171 3.255
P 10.312 5.635 6.646
S 0.521 1.748 3.365
S 0.857 5.080 3.085
S 2.967 7.532 5.049
S 3.032 7.736 1.550
S 3.069 3.272 4.940
S 3.133 3.069 1.658
S 5.244 0.617 6.476
S 5.580 6.211 6.756
S 6.622 2.716 3.365
S 6.958 8.309 3.085
S 9.068 5.857 5.049
S 9.133 5.654 1.550
S 9.169 1.191 4.940
S 9.234 1.394 1.658
S 11.344 3.846 6.476
S 11.680 7.179 6.756
```

For the uncorrected formation energy, the calculation gives -38.4 kJ/mol of atoms. As for the crystal system: orthorhombic.